Here is an optimized crystal structure of LiYZr from the Alexandria database. Energies are from PBE-GGA.

The magnetization is 0.00 μB/f.u. As for the space-group type: Pmma (51). The value obtained for the energy above the lowest structure with this stoichiometry is 36.9 meV/atom.

abc: 5.1758 3.2726 9.0826
angles: 90.00 90.00 90.00
Element x y z (fractional)
Li 0.2500 0.0000 0.0912
Li 0.7500 0.0000 0.9088
Y 0.2500 0.5000 0.7470
Y 0.7500 0.5000 0.2530
Zr 0.2500 0.0000 0.4348
Zr 0.7500 0.0000 0.5652


Here is an optimized crystal structure of PrErTh2Se4 from the Alexandria database. Energies are from PBE-GGA.

The calculation puts the formation energy without anion corrections at -1.6339 eV per atom. The magnetization is 0.00 μB/f.u. As for the space-group type: P2/m (10).

abc: 7.1096 4.1426 7.4098
angles: 90.00 108.91 90.00
Element x y z (fractional)
Pr 0.0000 0.0000 0.0000
Er 0.5000 0.5000 0.0000
Th 0.0000 0.5000 0.5000
Th 0.5000 0.0000 0.5000
Se 0.2574 0.5000 0.2438
Se 0.2632 0.0000 0.7625
Se 0.7368 0.0000 0.2375
Se 0.7426 0.5000 0.7562


Here is an optimized crystal structure of La2HfO from the Alexandria database. Energies are from PBE-GGA.

The calculation puts the formation energy without anion corrections at -0.8788 eV per atom. The magnetization is 0.00 μB/f.u. As for the space-group type: I-42d (122).

abc: 6.6471 6.6471 6.6471
angles: 112.66 112.66 103.27
Element x y z (fractional)
La 0.0074 0.6250 0.8824
La 0.3750 0.2574 0.3824
La 0.7426 0.1250 0.1176
La 0.8750 0.9926 0.6176
Hf 0.2500 0.7500 0.5000
Hf 0.5000 0.5000 0.0000
O 0.0000 0.0000 0.0000
O 0.7500 0.2500 0.5000


Here is an optimized crystal structure of LiCeEr2In4 from the Alexandria database. Energies are from PBE-GGA.

The magnetization is 0.71 μB/f.u. As for the space-group type: R-3m (166).

abc: 9.3201 9.3201 9.3201
angles: 32.41 32.41 32.41
Element x y z (fractional)
Li 0.0000 0.0000 0.0000
Ce 0.5000 0.5000 0.5000
Er 0.2537 0.2537 0.2537
Er 0.7463 0.7463 0.7463
In 0.1211 0.1211 0.1211
In 0.3721 0.3721 0.3721
In 0.6279 0.6279 0.6279
In 0.8789 0.8789 0.8789


Here is an optimized crystal structure of InNi2Pt9 from the Alexandria database. Energies are from PBE-GGA.

The magnetization is 2.31 μB/f.u. As for the space-group type: P4/mmm (123).

abc: 3.9473 3.9473 11.8007
angles: 90.00 90.00 90.00
Element x y z (fractional)
In 0.0000 0.0000 0.0000
Ni 0.0000 0.0000 0.3414
Ni 0.0000 0.0000 0.6586
Pt 0.0000 0.5000 0.1780
Pt 0.0000 0.5000 0.5000
Pt 0.0000 0.5000 0.8220
Pt 0.5000 0.0000 0.1780
Pt 0.5000 0.0000 0.5000
Pt 0.5000 0.0000 0.8220
Pt 0.5000 0.5000 0.0000
Pt 0.5000 0.5000 0.3385
Pt 0.5000 0.5000 0.6615


Here is an optimized crystal structure of NaCaRu2 from the Alexandria database. Energies are from PBE-GGA.

The magnetization is 0.00 μB/f.u. As for the space-group type: C2/m (12). The value obtained for the energy above the lowest structure with this stoichiometry is 94.0 meV/atom.

abc: 9.0748 9.0748 5.0316
angles: 99.36 99.36 28.16
Element x y z (fractional)
Na 0.0788 0.0788 0.2892
Na 0.9212 0.9212 0.7108
Ca 0.3857 0.3857 0.2100
Ca 0.6143 0.6143 0.7900
Ru 0.2269 0.2269 0.0865
Ru 0.2664 0.2664 0.6157
Ru 0.7336 0.7336 0.3843
Ru 0.7731 0.7731 0.9135


Here is an optimized crystal structure of Si2Ge2Pt from the Alexandria database. Energies are from PBE-GGA.

The calculation puts the formation energy without anion corrections at 0.1883 eV per atom. The magnetization is 0.00 μB/f.u. As for the space-group type: I4/mmm (139). The value obtained for the energy above the lowest structure with this stoichiometry is 0.0 meV/atom.

abc: 8.0952 8.0952 8.0952
angles: 156.11 156.11 34.04
Element x y z (fractional)
Si 0.2500 0.7500 0.5000
Si 0.7500 0.2500 0.5000
Ge 0.0945 0.0945 0.0000
Ge 0.9055 0.9055 0.0000
Pt 0.5000 0.5000 0.0000


Here is an optimized crystal structure of ZrAlOs2 from the Alexandria database. Energies are from PBE-GGA.

The magnetization is 0.00 μB/f.u. As for the space-group type: F-43m (216).

abc: 4.5005 4.5005 4.5005
angles: 60.00 60.00 60.00
Element x y z (fractional)
Zr 0.0000 0.0000 0.0000
Al 0.2500 0.2500 0.2500
Os 0.5000 0.5000 0.5000
Os 0.7500 0.7500 0.7500


Here is an optimized crystal structure of Cu3Br4N4 from the Alexandria database. Energies are from PBE-GGA.

The calculation puts the formation energy without anion corrections at 1.5234 eV per atom. The magnetization is 4.95 μB/f.u. As for the space-group type: I4/mmm (139).

abc: 7.1862 7.1862 7.1862
angles: 96.23 96.23 141.53
Element x y z (fractional)
Cu 0.0000 0.0000 0.0000
Cu 0.2500 0.7500 0.5000
Cu 0.7500 0.2500 0.5000
Br 0.2220 0.5000 0.7220
Br 0.5000 0.2220 0.7220
Br 0.5000 0.7780 0.2780
Br 0.7780 0.5000 0.2780
N 0.1354 0.1354 0.2707
N 0.1354 0.8646 0.0000
N 0.8646 0.1354 0.0000
N 0.8646 0.8646 0.7293


Here is an optimized crystal structure of PmPr2Rh from the Alexandria database. Energies are from PBE-GGA.

The magnetization is 0.00 μB/f.u. As for the space-group type: P4/mmm (123). The value obtained for the energy above the lowest structure with this stoichiometry is 156.1 meV/atom.

abc: 3.6457 3.6457 8.8667
angles: 90.00 90.00 90.00
Element x y z (fractional)
Pm 0.0000 0.0000 0.0000
Pr 0.5000 0.5000 0.3102
Pr 0.5000 0.5000 0.6898
Rh 0.0000 0.0000 0.5000


Here is an optimized crystal structure of RbLi3Mn from the Alexandria database. Energies are from PBE-GGA.

The magnetization is 4.16 μB/f.u. As for the space-group type: Pm-3m (221). The value obtained for the energy above the lowest structure with this stoichiometry is 577.8 meV/atom.

abc: 5.2838 5.2838 5.2838
angles: 90.00 90.00 90.00
Element x y z (fractional)
Rb 0.0000 0.0000 0.0000
Li 0.0000 0.0000 0.5000
Li 0.0000 0.5000 0.0000
Li 0.5000 0.0000 0.0000
Mn 0.5000 0.5000 0.5000


Here is an optimized crystal structure of Y6Te2Se from the Alexandria database. Energies are from PBE-GGA.

The calculation puts the formation energy without anion corrections at -0.9882 eV per atom. The magnetization is 0.00 μB/f.u. As for the space-group type: C2/m (12).

abc: 6.5872 6.5872 9.9970
angles: 92.75 92.75 36.01
Element x y z (fractional)
Y 0.0539 0.0539 0.2781
Y 0.3572 0.3572 0.0617
Y 0.3617 0.3617 0.4526
Y 0.6383 0.6383 0.5474
Y 0.6428 0.6428 0.9383
Y 0.9461 0.9461 0.7219
Te 0.2540 0.2540 0.7499
Te 0.7460 0.7460 0.2501
Se 0.0000 0.0000 0.0000


| no. | energy (eV per formula unit) |
| --- | --- |
| 1 | -16.613 |
| 2 | -51.191 |
| 3 | -28.282 |
| 4 | -30.885 |
| 5 | -70.511 |
| 6 | -20.838 |
| 7 | -25.180 |
| 8 | -34.596 |
| 9 | -35.524 |
| 10 | -22.689 |
| 11 | -10.123 |
| 12 | -57.446 |